No. 1
Below is LiPm3Si2 after structural relaxation, with properties calculated at the GGA-PBE level.

Lattice parameters (Å, degrees): 11.803 4.387 11.362 90.00 90.00 90.00
Fractional coordinates of all 24 atoms:
1 Li 0.119 0.250 0.108
2 Li 0.381 0.750 0.608
3 Li 0.619 0.250 0.392
4 Li 0.881 0.750 0.892
5 Pm 0.048 0.250 0.370
6 Pm 0.136 0.750 0.927
7 Pm 0.211 0.250 0.693
8 Pm 0.289 0.750 0.193
9 Pm 0.364 0.250 0.427
10 Pm 0.452 0.750 0.870
11 Pm 0.548 0.250 0.130
12 Pm 0.636 0.750 0.573
13 Pm 0.711 0.250 0.807
14 Pm 0.789 0.750 0.307
15 Pm 0.864 0.250 0.073
16 Pm 0.952 0.750 0.630
17 Si 0.017 0.750 0.171
18 Si 0.183 0.750 0.500
19 Si 0.317 0.250 0.000
20 Si 0.483 0.250 0.671
21 Si 0.517 0.750 0.329
22 Si 0.683 0.750 0.000
23 Si 0.817 0.250 0.500
24 Si 0.983 0.250 0.829

E above lowest polymorph: 0.0000 eV/atom
Space group: Pnma (62)
M_tot: 1.01 μB per formula unit
Density: 5.62 Mg/m³
Uncorrected formation energy: -0.52 eV/atom



No. 2
Below is PaCo5SnAs2 after structural relaxation, with properties calculated at the GGA-PBE level.

Lattice parameters (Å, degrees): 4.005 4.005 8.171 90.00 90.00 90.00
Fractional coordinates of all 9 atoms:
1 Pa 0.000 0.000 0.000
2 Co 0.000 0.500 0.288
3 Co 0.000 0.500 0.712
4 Co 0.500 0.000 0.288
5 Co 0.500 0.000 0.712
6 Co 0.500 0.500 0.500
7 Sn 0.000 0.000 0.500
8 As 0.500 0.500 0.158
9 As 0.500 0.500 0.842

Energy of formation: -298 meV per atom
Space group: P4/mmm (123)
M_tot: 3.13 μB per formula unit
Density: 10.06 Mg/m³



No. 3
Below is Ba3CaRu after structural relaxation, with properties calculated at the GGA-PBE level.

Lattice parameters (Å, degrees): 6.084 6.084 6.084 90.00 90.00 90.00
Fractional coordinates of all 5 atoms:
1 Ba 0.000 0.000 0.500
2 Ba 0.000 0.500 0.000
3 Ba 0.500 0.000 0.000
4 Ca 0.500 0.500 0.500
5 Ru 0.000 0.000 0.000

E above lowest polymorph: 0.0000 eV/atom
Energy of formation: 230 meV per atom
Space group: Pm-3m (221)
M_tot: 0.00 μB per formula unit
Density: 4.08 Mg/m³



No. 4
Below is WBr2 after structural relaxation, with properties calculated at the GGA-PBE level.

Lattice parameters (Å, degrees): 14.221 14.221 14.221 167.14 167.14 18.23
Fractional coordinates of all 6 atoms:
1 W 0.375 0.625 0.750
2 W 0.625 0.375 0.250
3 Br 0.068 0.818 0.250
4 Br 0.182 0.932 0.250
5 Br 0.818 0.068 0.750
6 Br 0.932 0.182 0.750

E above lowest polymorph: 1.1420 eV/atom
Space group: I4_1/amd (141)
M_tot: 0.00 μB per formula unit
Density: 8.01 Mg/m³
Uncorrected formation energy: 0.68 eV/atom



No. 5
Below is Rb2Li2F5 after structural relaxation, with properties calculated at the GGA-PBE level.

Lattice parameters (Å, degrees): 4.015 4.015 8.752 90.00 90.00 90.00
Fractional coordinates of all 9 atoms:
1 Rb 0.000 0.000 0.000
2 Rb 0.000 0.000 0.500
3 Li 0.500 0.500 0.217
4 Li 0.500 0.500 0.783
5 F 0.000 0.500 0.270
6 F 0.000 0.500 0.730
7 F 0.500 0.000 0.270
8 F 0.500 0.000 0.730
9 F 0.500 0.500 0.000

E above lowest polymorph: 0.0000 eV/atom
Space group: P4/mmm (123)
M_tot: 1.05 μB per formula unit
Density: 3.29 Mg/m³
Uncorrected formation energy: -2.49 eV/atom



No. 6
Below is Sc3TlPt2 after structural relaxation, with properties calculated at the GGA-PBE level.

Lattice parameters (Å, degrees): 3.293 3.293 10.903 90.00 90.00 90.00
Fractional coordinates of all 6 atoms:
1 Sc 0.000 0.000 0.000
2 Sc 0.000 0.000 0.305
3 Sc 0.000 0.000 0.695
4 Tl 0.500 0.500 0.500
5 Pt 0.500 0.500 0.155
6 Pt 0.500 0.500 0.845

Energy of formation: -917 meV per atom
Space group: P4/mmm (123)
M_tot: 0.00 μB per formula unit
Density: 10.24 Mg/m³



No. 7
Below is SnTe4Pd2 after structural relaxation, with properties calculated at the GGA-PBE level.

Lattice parameters (Å, degrees): 8.250 8.250 8.250 140.86 140.86 56.55
Fractional coordinates of all 7 atoms:
1 Sn 0.000 0.000 0.000
2 Te 0.000 0.500 0.500
3 Te 0.238 0.238 0.000
4 Te 0.500 0.000 0.500
5 Te 0.762 0.762 0.000
6 Pd 0.412 0.412 0.000
7 Pd 0.588 0.588 0.000

Space group: I4/mmm (139)
M_tot: 0.00 μB per formula unit
Density: 6.30 Mg/m³
Uncorrected formation energy: 0.27 eV/atom



No. 8
Below is RbCdSe2N after structural relaxation, with properties calculated at the GGA-PBE level.

Lattice parameters (Å, degrees): 5.514 5.514 4.598 90.00 90.00 90.00
Fractional coordinates of all 5 atoms:
1 Rb 0.000 0.000 0.000
2 Cd 0.500 0.500 0.500
3 Se 0.000 0.500 0.500
4 Se 0.500 0.000 0.500
5 N 0.500 0.500 0.000

E above lowest polymorph: 0.0000 eV/atom
Space group: P4/mmm (123)
M_tot: 3.48 μB per formula unit
Density: 4.39 Mg/m³
Uncorrected formation energy: 0.50 eV/atom



- density of number 5 (Rb2Li2F5)?
  3.29 Mg/m³



- Which of these has the highest density?
  Sc3TlPt2